(1)
Entry from Alexandria via LeMat-Bulk: a relaxed structure of NaTaGa2 (PBE-GGA).

Unit cell a=4.460 b=4.460 c=9.604 alpha=76.57 beta=76.57 gamma=90.00
Positions (direct):
Ga1 0.375 0.305 0.750
Ga2 0.055 0.625 0.250
Na1 0.250 0.750 0.500
Ta1 0.750 0.250 0.500
Na2 0.500 0.500 0.000
Ta2 0.000 0.000 0.000
Ga3 0.695 0.125 0.250
Ga4 0.875 0.945 0.750

Energy of formation = 694 meV/atom
Distance to the lowest polymorph of the same formula = 0.3613 eV/atom
M_tot = 0.00 μB/cell



(2)
Entry from Alexandria via LeMat-Bulk: a relaxed structure of Rb3Cu2F6 (PBE-GGA).

Unit cell a=4.070 b=4.070 c=11.957 alpha=99.80 beta=99.80 gamma=90.00
Positions (direct):
F1 0.308 0.308 0.617
F2 0.414 0.914 0.827
Rb1 0.000 0.000 0.000
F3 0.586 0.086 0.173
Rb2 0.186 0.186 0.372
F4 0.086 0.586 0.173
Cu1 0.598 0.598 0.196
Cu2 0.402 0.402 0.804
F5 0.914 0.414 0.827
F6 0.692 0.692 0.383
Rb3 0.814 0.814 0.628

Energy relative to the elements, uncorrected = -204.9 kJ per mole of atoms
M_tot = 0.00 μB/cell



(3)
Entry from Alexandria via LeMat-Bulk: a relaxed structure of CdRhPb4 (PBE-GGA).

Unit cell a=7.250 b=7.250 c=7.901 alpha=117.31 beta=117.31 gamma=90.00
Positions (direct):
Pb1 0.199 0.699 0.714
Cd1 0.500 0.500 0.000
Rh1 0.250 0.250 0.500
Pb2 0.516 0.016 0.714
Rh2 0.750 0.750 0.500
Pb3 0.801 0.301 0.286
Cd2 0.000 0.000 0.000
Pb4 0.699 0.516 0.714
Pb5 0.484 0.984 0.286
Pb6 0.016 0.199 0.714
Pb7 0.301 0.484 0.286
Pb8 0.984 0.801 0.286

Energy of formation = -21 meV/atom
Distance to the lowest polymorph of the same formula = 0.0000 eV/atom
M_tot = 0.00 μB/cell